1.
An optimized crystal structure of Tm4InC2S. Source: OQMD, functional PBE.

The space group is P-6m2 (No. 187) and the conventional cell measures 3.5969, 3.5969 and 14.3896 Å, with angles of 90.00, 90.00 and 120.00 degrees. The inequivalent atoms are Tm at (0.0000, 0.0000, 0.1296), Tm at (0.6667, 0.3333, 0.3122), In at (0.0000, 0.0000, 0.5000), C at (0.3333, 0.6667, 0.2221) and S at (0.6667, 0.3333, 0.0000).

As for the total energy: -50.18 eV per cell.

2.
An optimized crystal structure of CdPtSO. Source: OQMD, functional PBE.

The space group is Pca2_1 (No. 29) and the conventional cell measures 6.301, 7.861 and 5.441 Å, with angles of 90.00, 90.00 and 90.00 degrees. The inequivalent atoms are Cd at (0.035, 0.181, 0.000), Pt at (0.162, 0.627, 0.114), S at (0.053, 0.154, 0.469) and O at (0.128, 0.478, 0.802).

For the energy relative to the lowest polymorph listed for this composition, the calculation gives 0.69 eV/f.u.